{"formula": "HgPt2Br", "functional": "GGA-PBE", "state": "relaxed", "lattice": [[6.2928, 0.0000, 0.0000], [0.0000, 7.7927, 0.0000], [0.0000, 0.0000, 3.0522]], "species": ["Hg", "Hg", "Pt", "Pt", "Pt", "Pt", "Br", "Br"], "frac_coords": [[0.0000, 0.0000, 0.0000], [0.5000, 0.5000, 0.0000], [0.2500, 0.2500, 0.5000], [0.2500, 0.7500, 0.5000], [0.7500, 0.2500, 0.5000], [0.7500, 0.7500, 0.5000], [0.0000, 0.5000, 0.0000], [0.5000, 0.0000, 0.0000]], "mass_density_g_cm3": 14.881, "de_polymorph_mev_per_atom": 395, "space_group": "Cmmm", "m_tot_mub_per_cell": 0.0}